No. 1
Nd12Pd3N5: relaxed, GGA-PBE.

Lattice parameters (Å, degrees): 13.769 13.769 13.769 109.47 109.47 109.47
Positions (direct):
Pd 0.750 0.375 0.125
Pd 0.875 0.750 0.125
Pd 0.375 0.750 0.625
Pd 0.250 0.125 0.375
Pd 0.875 0.125 0.250
Pd 0.375 0.625 0.250
Pd 0.625 0.375 0.750
Pd 0.125 0.875 0.750
Pd 0.750 0.875 0.625
Pd 0.625 0.250 0.375
Pd 0.125 0.250 0.875
Pd 0.250 0.625 0.875
N 0.125 0.375 0.250
N 0.000 0.500 0.000
N 0.000 0.000 0.000
N 0.375 0.250 0.125
N 0.500 0.000 0.500
N 0.500 0.500 0.000
N 0.125 0.750 0.375
N 0.750 0.125 0.875
N 0.750 0.625 0.375
N 0.375 0.125 0.750
N 0.625 0.875 0.250
N 0.500 0.500 0.500
N 0.500 0.000 0.000
N 0.000 0.000 0.500
N 0.250 0.375 0.625
N 0.250 0.875 0.125
N 0.000 0.500 0.500
N 0.875 0.250 0.625
N 0.625 0.750 0.875
N 0.875 0.625 0.750
Nd 0.702 0.116 0.020
Nd 0.318 0.520 0.404
Nd 0.980 0.384 0.298
Nd 0.520 0.202 0.116
Nd 0.586 0.702 0.682
Nd 0.980 0.596 0.182
Nd 0.318 0.798 0.414
Nd 0.096 0.914 0.116
Nd 0.596 0.980 0.682
Nd 0.702 0.586 0.182
Nd 0.798 0.480 0.384
Nd 0.818 0.904 0.020
Nd 0.116 0.702 0.520
Nd 0.384 0.404 0.086
Nd 0.086 0.904 0.384
Nd 0.414 0.116 0.596
Nd 0.086 0.182 0.202
Nd 0.480 0.682 0.096
Nd 0.818 0.914 0.298
Nd 0.116 0.414 0.096
Nd 0.384 0.980 0.798
Nd 0.596 0.616 0.414
Nd 0.904 0.818 0.520
Nd 0.798 0.318 0.914
Nd 0.404 0.384 0.586
Nd 0.096 0.182 0.480
Nd 0.202 0.682 0.086
Nd 0.182 0.086 0.702
Nd 0.616 0.020 0.202
Nd 0.884 0.586 0.904
Nd 0.520 0.318 0.904
Nd 0.586 0.884 0.404
Nd 0.914 0.818 0.798
Nd 0.914 0.096 0.616
Nd 0.884 0.298 0.480
Nd 0.182 0.096 0.980
Nd 0.616 0.596 0.914
Nd 0.404 0.020 0.318
Nd 0.298 0.414 0.818
Nd 0.202 0.520 0.616
Nd 0.904 0.086 0.884
Nd 0.682 0.202 0.586
Nd 0.480 0.798 0.884
Nd 0.020 0.404 0.818
Nd 0.414 0.298 0.318
Nd 0.020 0.616 0.702
Nd 0.682 0.480 0.596
Nd 0.298 0.884 0.980

Values from the calculation:
**ΔE_f (raw)**: -15.50 eV/f.u.
**V**: 25.1 A^3/atom
**M_tot**: 0.00 μB per cell
**Calculated total energy**: -6.496 eV per atom

No. 2
Tb4Y3Er5: relaxed, GGA-PBE.

Lattice parameters (Å, degrees): 7.087 11.194 12.760 151.29 56.30 129.29
Positions (direct):
Tb 0.917 0.835 0.668
Tb 0.832 0.664 0.833
Tb 0.168 0.336 0.167
Tb 0.083 0.165 0.332
Y 0.583 0.167 0.333
Y 0.000 0.000 0.500
Y 0.417 0.833 0.667
Er 0.331 0.666 0.835
Er 0.500 0.000 0.500
Er 0.750 0.501 0.001
Er 0.250 0.499 0.999
Er 0.669 0.334 0.165

Values from the calculation:
**E_form**: 0.0214 eV/atom
**V**: 31.4 A^3/atom
**M_tot**: 0.00 μB per cell
**Calculated total energy**: -5.039 eV per atom

No. 3
LiRe2Ru: relaxed, GGA-PBE.

Lattice parameters (Å, degrees): 4.278 4.278 4.278 60.00 60.00 60.00
Positions (direct):
Re 0.250 0.250 0.250
Re 0.750 0.750 0.750
Li 0.000 0.000 0.000
Ru 0.500 0.500 0.500

Values from the calculation:
**E_form**: 0.4660 eV/atom
**V**: 13.8 A^3/atom
**M_tot**: 0.00 μB per cell
**Calculated total energy**: -8.555 eV per atom

No. 4
NiC2: relaxed, GGA-PBE.

Lattice parameters (Å, degrees): 7.426 7.426 2.497 90.00 90.00 160.62
Positions (direct):
Ni 0.621 0.379 0.000
Ni 0.379 0.621 0.000
C 0.000 0.000 0.000
C 0.500 0.500 0.500
C 0.724 0.276 0.500
C 0.276 0.724 0.500

Values from the calculation:
**E_form**: 1.0827 eV/atom
**V**: 7.6 A^3/atom
**M_tot**: 0.00 μB per cell
**Calculated total energy**: -6.994 eV per atom

No. 5
KCd9Ag2: relaxed, GGA-PBE.

Lattice parameters (Å, degrees): 3.838 9.417 9.417 120.00 90.00 90.00
Positions (direct):
K 0.000 0.000 0.000
Cd 0.500 0.809 0.191
Cd 0.000 0.000 0.500
Cd 0.000 0.500 0.500
Cd 0.500 0.809 0.618
Cd 0.500 0.191 0.809
Cd 0.500 0.618 0.809
Cd 0.500 0.191 0.382
Cd 0.000 0.500 0.000
Cd 0.500 0.382 0.191
Ag 0.000 0.667 0.333
Ag 0.000 0.333 0.667

Values from the calculation:
**E_form**: -0.0276 eV/atom
**V**: 24.6 A^3/atom
**M_tot**: 0.00 μB per cell
**Calculated total energy**: -1.281 eV per atom

No. 6
Ce2Ho3ErTe6: relaxed, GGA-PBE.

Lattice parameters (Å, degrees): 4.345 8.853 9.832 103.82 102.77 90.00
Last column: magnetic moment on the atom in μB.
Positions (direct):
Ce 0.832 0.663 0.664  0.98
Ce 0.168 0.337 0.336  0.98
Ho 0.500 0.500 0.000  0.01
Ho 0.830 0.166 0.661  0.01
Ho 0.170 0.834 0.339  0.01
Er 0.500 0.000 0.000  0.04
Te 0.335 0.926 0.671  -0.01
Te 0.663 0.591 0.326  -0.01
Te 0.665 0.074 0.329  -0.01
Te 0.996 0.247 0.993  0.00
Te 0.004 0.753 0.007  0.00
Te 0.337 0.409 0.674  -0.01

Values from the calculation:
**ΔE_f (raw)**: -15.46 eV/f.u.
**V**: 29.8 A^3/atom
**M_tot**: 2.54 μB per cell
**Calculated total energy**: -5.373 eV per atom

No. 7
PrP3Pd10: relaxed, GGA-PBE.

Lattice parameters (Å, degrees): 8.668 8.668 8.668 60.00 60.00 60.00
Positions (direct):
Pr 0.250 0.250 0.250
Pr 0.750 0.750 0.750
P 0.741 0.741 0.259
P 0.741 0.259 0.741
P 0.259 0.741 0.741
P 0.259 0.259 0.741
P 0.741 0.259 0.259
P 0.259 0.741 0.259
Pd 0.000 0.000 0.345
Pd 0.000 0.345 0.000
Pd 0.345 0.000 0.000
Pd 0.655 0.345 0.000
Pd 0.387 0.387 0.387
Pd 0.160 0.613 0.613
Pd 0.387 0.840 0.387
Pd 0.655 0.000 0.345
Pd 0.387 0.387 0.840
Pd 0.840 0.387 0.387
Pd 0.613 0.613 0.160
Pd 0.000 0.000 0.655
Pd 0.345 0.655 0.000
Pd 0.000 0.655 0.345
Pd 0.000 0.345 0.655
Pd 0.655 0.000 0.000
Pd 0.613 0.613 0.613
Pd 0.000 0.655 0.000
Pd 0.613 0.160 0.613
Pd 0.345 0.000 0.655

Values from the calculation:
**E_form**: -0.6115 eV/atom
**V**: 16.4 A^3/atom
**M_tot**: 0.00 μB per cell
**Calculated total energy**: -5.821 eV per atom

No. 8
KLaNbGe2: relaxed, GGA-PBE.

Lattice parameters (Å, degrees): 5.108 5.253 5.108 90.00 90.00 90.00
Positions (direct):
K 0.000 0.500 0.000
Nb 0.000 0.000 0.000
Ge 0.000 0.000 0.500
Ge 0.500 0.000 0.000
La 0.500 0.500 0.500

Values from the calculation:
**E_form**: 0.4033 eV/atom
**V**: 27.4 A^3/atom
**M_tot**: 0.00 μB per cell
**Calculated total energy**: -4.663 eV per atom

No. 9
InAs2Pd: relaxed, GGA-PBE.

Lattice parameters (Å, degrees): 3.131 3.131 10.028 81.02 81.02 60.00
Positions (direct):
As 0.102 0.102 0.694
As 0.898 0.898 0.306
Pd 0.500 0.500 0.500
In 0.000 0.000 0.000

Values from the calculation:
**E_form**: -0.0236 eV/atom
**V**: 20.9 A^3/atom
**M_tot**: 0.00 μB per cell
**Calculated total energy**: -4.331 eV per atom

No. 10
Rb4Pa3SnO12: relaxed, GGA-PBE.

Lattice parameters (Å, degrees): 7.557 7.557 7.557 109.47 109.47 109.47
Last column: magnetic moment on the atom in μB.
Positions (direct):
Rb 0.500 0.500 0.500  0.00
Rb 0.000 0.000 0.500  0.00
Rb 0.500 0.000 0.000  0.00
Rb 0.000 0.500 0.000  0.00
Pa 0.500 0.000 0.500  -0.01
Pa 0.500 0.500 0.000  -0.01
Pa 0.000 0.500 0.500  -0.01
Sn 0.000 0.000 0.000  -0.01
O 0.250 0.500 0.750  0.05
O 0.752 0.000 0.752  0.08
O 0.248 0.000 0.248  0.08
O 0.750 0.500 0.250  0.05
O 0.752 0.752 0.000  0.08
O 0.248 0.248 0.000  0.08
O 0.750 0.250 0.500  0.05
O 0.250 0.750 0.500  0.05
O 0.500 0.250 0.750  0.05
O 0.000 0.752 0.752  0.08
O 0.500 0.750 0.250  0.05
O 0.000 0.248 0.248  0.08

Values from the calculation:
**ΔE_f (raw)**: -53.11 eV/f.u.
**V**: 16.6 A^3/atom
**M_tot**: 0.88 μB per cell
**Calculated total energy**: -7.449 eV per atom

No. 11
La4Dy3: relaxed, GGA-PBE.

Lattice parameters (Å, degrees): 3.545 8.922 9.357 122.12 100.92 90.00
Positions (direct):
La 0.080 0.450 0.160
La 0.920 0.550 0.840
La 0.360 0.129 0.720
La 0.640 0.871 0.280
Dy 0.000 0.000 0.000
Dy 0.220 0.298 0.441
Dy 0.780 0.702 0.559

Values from the calculation:
**E_form**: 0.1229 eV/atom
**V**: 34.9 A^3/atom
**M_tot**: 0.00 μB per cell
**Calculated total energy**: -4.665 eV per atom

No. 12
AcInCu2Pd4: relaxed, GGA-PBE.

Lattice parameters (Å, degrees): 4.381 4.381 9.368 76.48 76.48 60.00
Positions (direct):
Ac 0.000 0.000 0.000
In 0.500 0.500 0.500
Cu 0.760 0.760 0.721
Cu 0.240 0.240 0.279
Pd 0.401 0.401 0.797
Pd 0.876 0.876 0.373
Pd 0.124 0.124 0.627
Pd 0.599 0.599 0.203

Values from the calculation:
**E_form**: -0.4284 eV/atom
**V**: 18.7 A^3/atom
**M_tot**: 0.00 μB per cell
**Calculated total energy**: -4.905 eV per atom

No. 13
Ac4GeTe2Pt: relaxed, GGA-PBE.

Lattice parameters (Å, degrees): 4.570 7.930 8.288 108.12 90.00 90.00
Positions (direct):
Ac 0.500 0.236 0.218
Ac 0.500 0.764 0.782
Ac 0.000 0.254 0.780
Ac 0.000 0.746 0.220
Ge 0.500 0.500 0.000
Te 0.500 0.000 0.500
Te 0.000 0.500 0.500
Pt 0.000 0.000 0.000

Values from the calculation:
**ΔE_f (raw)**: -9.92 eV/f.u.
**V**: 35.7 A^3/atom
**M_tot**: 0.00 μB per cell
**Calculated total energy**: -5.412 eV per atom

No. 14
Cu3Te2Se: relaxed, GGA-PBE.

Lattice parameters (Å, degrees): 3.979 5.920 7.032 114.90 106.44 90.00
Positions (direct):
Cu 0.000 0.025 0.000
Cu 0.343 0.326 0.686
Cu 0.657 0.640 0.314
Te 0.836 0.589 0.671
Te 0.164 0.918 0.329
Se 0.500 0.245 0.000

Values from the calculation:
**ΔE_f (raw)**: -0.40 eV/f.u.
**V**: 23.8 A^3/atom
**M_tot**: 0.00 μB per cell
**Calculated total energy**: -3.742 eV per atom

No. 15
TiNbAs: relaxed, GGA-PBE.

Lattice parameters (Å, degrees): 4.082 3.516 7.104 90.02 89.98 90.00
Positions (direct):
Ti 0.250 0.750 0.645
Ti 0.750 0.250 0.355
Nb 0.750 0.750 0.010
Nb 0.250 0.250 0.990
As 0.750 0.250 0.716
As 0.250 0.750 0.284

Values from the calculation:
**E_form**: -0.6604 eV/atom
**V**: 17.0 A^3/atom
**M_tot**: 0.00 μB per cell
**Calculated total energy**: -8.198 eV per atom

No. 16
UHgAuO5: relaxed, GGA-PBE.

Lattice parameters (Å, degrees): 6.338 6.338 8.788 106.53 106.53 112.27
Last column: magnetic moment on the atom in μB.
Positions (direct):
U 0.000 0.000 0.500  0.06
U 0.000 0.000 0.000  0.06
Hg 0.295 0.705 0.250  0.01
Hg 0.705 0.295 0.750  0.01
Au 0.776 0.224 0.250  0.34
Au 0.224 0.776 0.750  0.34
O 0.020 0.980 0.250  0.12
O 0.980 0.020 0.750  0.12
O 0.961 0.359 0.107  0.06
O 0.039 0.641 0.893  0.06
O 0.641 0.039 0.393  0.06
O 0.359 0.961 0.607  0.06
O 0.818 0.644 0.398  0.04
O 0.182 0.356 0.602  0.04
O 0.356 0.182 0.102  0.04
O 0.644 0.818 0.898  0.04

Values from the calculation:
**ΔE_f (raw)**: -11.56 eV/f.u.
**V**: 17.6 A^3/atom
**M_tot**: 1.60 μB per cell
**Calculated total energy**: -6.402 eV per atom

No. 17
ScTiTlPb: relaxed, GGA-PBE.

Lattice parameters (Å, degrees): 5.044 5.044 5.044 60.00 60.00 60.00
Last column: magnetic moment on the atom in μB.
Positions (direct):
Pb 0.250 0.250 0.250  -0.01
Sc 0.500 0.500 0.500  0.20
Tl 0.750 0.750 0.750  0.00
Ti 0.000 0.000 0.000  1.32

Values from the calculation:
**E_form**: 0.0003 eV/atom
**V**: 22.7 A^3/atom
**M_tot**: 2.02 μB per cell
**Calculated total energy**: -5.075 eV per atom

No. 18
Be2TlNi: relaxed, GGA-PBE.

Lattice parameters (Å, degrees): 2.905 2.906 6.418 90.00 90.00 90.00
Positions (direct):
Ni 0.500 0.500 0.250
Tl 0.500 0.500 0.750
Be 0.000 0.000 0.086
Be 0.000 0.000 0.414

Values from the calculation:
**E_form**: 0.2118 eV/atom
**V**: 13.5 A^3/atom
**M_tot**: 0.00 μB per cell
**Calculated total energy**: -3.688 eV per atom

No. 19
LaScTlI2: relaxed, GGA-PBE.

Lattice parameters (Å, degrees): 6.143 6.259 6.143 90.00 90.00 90.00
Last column: magnetic moment on the atom in μB.
Positions (direct):
I 0.000 0.000 0.500  -0.01
I 0.500 0.000 0.000  -0.01
Sc 0.500 0.500 0.500  0.82
Tl 0.000 0.000 0.000  -0.01
La 0.000 0.500 0.000  0.16

Values from the calculation:
**ΔE_f (raw)**: 2.15 eV/f.u.
**V**: 47.2 A^3/atom
**M_tot**: 1.61 μB per cell
**Calculated total energy**: -2.915 eV per atom

No. 20
LaEuGa4: relaxed, GGA-PBE.

Lattice parameters (Å, degrees): 5.687 5.687 5.687 60.00 60.00 60.00
Last column: magnetic moment on the atom in μB.
Positions (direct):
Eu 0.250 0.250 0.250  6.82
Ga 0.625 0.625 0.125  -0.01
Ga 0.625 0.125 0.625  -0.01
Ga 0.625 0.625 0.625  -0.01
Ga 0.125 0.625 0.625  -0.01
La 0.000 0.000 0.000  0.04

Values from the calculation:
**E_form**: -0.5510 eV/atom
**V**: 21.7 A^3/atom
**M_tot**: 7.10 μB per cell
**Calculated total energy**: -5.103 eV per atom